First-principles (PBE) data for crystalline NaNdHg3O4 at its relaxed geometry, as listed in OQMD via LeMat-Bulk.

a = 5.8841 Å, b = 5.8841 Å, c = 5.8841 Å
α = 90.00°, β = 90.00°, γ = 90.00°
Last column: nearest neighbours and their distance in Å.
Fractional coordinates of all 9 atoms:
1 Hg 0.5000 0.5000 0.0000  4 O 2.47
2 Hg 0.5000 0.0000 0.5000  4 O 2.47
3 Hg 0.0000 0.5000 0.5000  4 O 2.47
4 Na 0.0000 0.0000 0.0000  4 O 2.82
5 Nd 0.5000 0.5000 0.5000  4 O 2.27
6 O 0.2770 0.2770 0.2770  1 Nd 2.27, 3 Hg 2.47
7 O 0.7230 0.7230 0.2770  1 Nd 2.27, 3 Hg 2.47
8 O 0.7230 0.2770 0.7230  1 Nd 2.27, 3 Hg 2.47
9 O 0.2770 0.7230 0.7230  1 Nd 2.27, 3 Hg 2.47

## Properties
As for the total DFT energy (no corrections): -34.222 eV for the cell shown.

***

First-principles (PBE) data for crystalline CsLuFeSe3 at its relaxed geometry, as listed in OQMD via LeMat-Bulk.

a = 10.6660 Å, b = 4.1085 Å, c = 16.0128 Å
α = 90.00°, β = 90.00°, γ = 90.00°
Last column: nearest neighbours and their distance in Å.
Fractional coordinates of all 24 atoms:
1 Cs 0.2523 0.7500 0.0084  8 Se 3.63-3.96
2 Cs 0.7523 0.7500 0.4916  8 Se 3.63-3.96
3 Cs 0.2477 0.2500 0.5084  8 Se 3.63-3.96
4 Cs 0.7477 0.2500 0.9916  8 Se 3.63-3.96
5 Fe 0.7417 0.7500 0.2160  4 Se 2.42-2.50
6 Fe 0.2417 0.7500 0.2840  4 Se 2.42-2.50
7 Fe 0.7583 0.2500 0.7160  4 Se 2.42-2.50
8 Fe 0.2583 0.2500 0.7840  4 Se 2.42-2.50
9 Lu 0.4914 0.2500 0.2494  6 Se 2.81-2.83
10 Lu 0.9914 0.2500 0.2506  6 Se 2.81-2.83
11 Lu 0.0086 0.7500 0.7494  6 Se 2.81-2.83
12 Lu 0.5086 0.7500 0.7506  6 Se 2.81-2.83
13 Se 0.5507 0.7500 0.1345  1 Fe 2.42
14 Se 0.9341 0.7500 0.1357  1 Fe 2.42
15 Se 0.2412 0.2500 0.1952  2 Fe 2.50
16 Se 0.7412 0.2500 0.3048  2 Fe 2.50
17 Se 0.4341 0.7500 0.3643  1 Fe 2.42
18 Se 0.0507 0.7500 0.3655  1 Fe 2.42
19 Se 0.9493 0.2500 0.6345  1 Fe 2.42
20 Se 0.5659 0.2500 0.6357  1 Fe 2.42
21 Se 0.2588 0.7500 0.6952  2 Fe 2.50
22 Se 0.7588 0.7500 0.8048  2 Fe 2.50
23 Se 0.0659 0.2500 0.8643  1 Fe 2.42
24 Se 0.4493 0.2500 0.8655  1 Fe 2.42

## Properties
The calculation puts the energy above the most stable polymorph in this dataset at 14 meV per atom.

***

First-principles (PBE) data for crystalline HfPb2C at its relaxed geometry, as listed in OQMD via LeMat-Bulk.

a = 3.4246 Å, b = 3.4246 Å, c = 16.0801 Å
α = 90.00°, β = 90.00°, γ = 120.00°
Last column: nearest neighbours and their distance in Å.
Fractional coordinates of all 8 atoms:
1 C 0.0000 0.0000 0.0000  6 Pb 2.48
2 C 0.0000 0.0000 0.5000  6 Pb 2.48
3 Hf 0.6667 0.3333 0.2500  6 Pb 3.20, 6 Hf 3.42
4 Hf 0.3333 0.6667 0.7500  6 Pb 3.20, 6 Hf 3.42
5 Pb 0.3333 0.6667 0.0932  3 C 2.48
6 Pb 0.3333 0.6667 0.4068  3 C 2.48
7 Pb 0.6667 0.3333 0.5932  3 C 2.48
8 Pb 0.6667 0.3333 0.9068  3 C 2.48

## Properties
As for the total DFT energy (no corrections): -45.169 eV for the cell shown.

***

First-principles (PBE) data for crystalline WBr2 at its relaxed geometry, as listed in OQMD via LeMat-Bulk.

a = 5.6985 Å, b = 5.6985 Å, c = 5.6985 Å
α = 60.00°, β = 60.00°, γ = 60.00°
Last column: nearest neighbours and their distance in Å.
Fractional coordinates of all 6 atoms:
1 Br 0.6250 0.6250 0.1250  6 Br 2.85
2 Br 0.6250 0.1250 0.6250  6 Br 2.85
3 Br 0.1250 0.6250 0.6250  6 Br 2.85
4 Br 0.6250 0.6250 0.6250  6 Br 2.85
5 W 0.0000 0.0000 0.0000  12 Br 3.34, 4 W 3.49
6 W 0.2500 0.2500 0.2500  12 Br 3.34, 4 W 3.49

## Properties
The calculation puts the energy above the most stable polymorph in this dataset at 2835 meV per atom.

***

First-principles (PBE) data for crystalline Ni12W at its relaxed geometry, as listed in OQMD via LeMat-Bulk.

a = 8.6382 Å, b = 8.6382 Å, c = 8.6382 Å
α = 30.83°, β = 30.83°, γ = 30.83°
Last column: nearest neighbours and their distance in Å.
Fractional coordinates of all 13 atoms:
1 Ni 0.5817 0.0885 0.0885  7 Ni 2.26-2.50, 1 W 2.40
2 Ni 0.0885 0.5817 0.0885  7 Ni 2.26-2.50, 1 W 2.40
3 Ni 0.1646 0.1646 0.1646  9 Ni 2.47-2.65
4 Ni 0.3491 0.3491 0.3491  13 Ni 2.58-2.80, 3 W 2.68
5 Ni 0.9115 0.9115 0.4183  7 Ni 2.26-2.50, 1 W 2.40
6 Ni 0.4537 0.4537 0.4537  7 Ni 2.29-2.50
7 Ni 0.5463 0.5463 0.5463  7 Ni 2.29-2.50
8 Ni 0.0885 0.0885 0.5817  7 Ni 2.26-2.50, 1 W 2.40
9 Ni 0.6509 0.6509 0.6509  13 Ni 2.58-2.80, 3 W 2.68
10 Ni 0.8354 0.8354 0.8354  9 Ni 2.47-2.65
11 Ni 0.9115 0.4183 0.9115  7 Ni 2.26-2.50, 1 W 2.40
12 Ni 0.4183 0.9115 0.9115  7 Ni 2.26-2.50, 1 W 2.40
13 W 0.0000 0.0000 0.0000  12 Ni 2.40-2.68

## Properties
The value obtained for the energy relative to the elements is 138.1 meV per atom.

***

First-principles (PBE) data for crystalline BaNaZn at its relaxed geometry, as listed in OQMD via LeMat-Bulk.

a = 5.6580 Å, b = 5.6580 Å, c = 5.6580 Å
α = 60.00°, β = 60.00°, γ = 60.00°
Last column: nearest neighbours and their distance in Å.
Fractional coordinates of all 3 atoms:
1 Ba 0.0000 0.0000 0.0000  4 Zn 3.46, 4 Na 3.46
2 Na 0.2500 0.2500 0.2500  4 Ba 3.46
3 Zn 0.7500 0.7500 0.7500  4 Ba 3.46

## Properties
As for the total DFT energy (no corrections): -3.626 eV for the cell shown.

***

First-principles (PBE) data for crystalline NaOsAuSeS2 at its relaxed geometry, as listed in OQMD via LeMat-Bulk.

a = 8.0433 Å, b = 8.0433 Å, c = 9.8889 Å
α = 90.00°, β = 90.00°, γ = 157.22°
Last column: nearest neighbours and their distance in Å.
Fractional coordinates of all 12 atoms:
1 Au 0.8633 0.1367 0.2500  2 S 2.33
2 Au 0.1367 0.8633 0.7500  2 S 2.33
3 Na 0.2051 0.7949 0.2500  2 Au 2.96, 2 Se 2.96, 2 S 3.01, 2 Na 3.18
4 Na 0.7949 0.2051 0.7500  2 Au 2.96, 2 Se 2.96, 2 S 3.01, 2 Na 3.18
5 Os 0.5000 0.5000 0.0000  4 S 2.41, 2 Se 2.58
6 Os 0.5000 0.5000 0.5000  4 S 2.41, 2 Se 2.58
7 S 0.8859 0.1141 0.0176  1 Au 2.33, 2 Os 2.41
8 S 0.8859 0.1141 0.4824  1 Au 2.33, 2 Os 2.41
9 S 0.1141 0.8859 0.5176  1 Au 2.33, 2 Os 2.41
10 S 0.1141 0.8859 0.9824  1 Au 2.33, 2 Os 2.41
11 Se 0.5466 0.4534 0.2500  2 Os 2.58
12 Se 0.4534 0.5466 0.7500  2 Os 2.58

## Properties
As for the total DFT energy (no corrections): -57.447 eV for the cell shown.

***

First-principles (PBE) data for crystalline Cu5Sn4 at its relaxed geometry, as listed in OQMD via LeMat-Bulk.

a = 9.9552 Å, b = 7.3434 Å, c = 9.9196 Å
α = 90.00°, β = 62.07°, γ = 90.00°
Last column: nearest neighbours and their distance in Å.
Fractional coordinates of all 36 atoms:
1 Cu 0.0562 0.7759 0.0572  4 Cu 2.57-2.64, 5 Sn 2.66-2.86
2 Cu 0.8086 0.9126 0.0627  6 Cu 2.61-2.76, 5 Sn 2.64-2.78
3 Cu 0.5704 0.7448 0.0693  3 Cu 2.54-2.65, 6 Sn 2.71-2.84
4 Cu 0.6833 0.2250 0.1820  3 Cu 2.57-2.61, 6 Sn 2.68-2.82
5 Cu 0.1898 0.2557 0.1865  4 Cu 2.54-2.76, 4 Sn 2.73-2.80
6 Cu 0.8102 0.7557 0.3135  4 Cu 2.54-2.76, 4 Sn 2.73-2.80
7 Cu 0.3167 0.7250 0.3180  3 Cu 2.57-2.61, 6 Sn 2.68-2.82
8 Cu 0.4296 0.2448 0.4307  3 Cu 2.54-2.65, 6 Sn 2.71-2.84
9 Cu 0.1914 0.4126 0.4373  6 Cu 2.61-2.76, 5 Sn 2.64-2.78
10 Cu 0.9438 0.2759 0.4428  4 Cu 2.57-2.64, 5 Sn 2.66-2.86
11 Cu 0.0562 0.7241 0.5572  4 Cu 2.57-2.64, 5 Sn 2.66-2.86
12 Cu 0.8086 0.5874 0.5627  6 Cu 2.61-2.76, 5 Sn 2.64-2.78
13 Cu 0.5704 0.7552 0.5693  3 Cu 2.54-2.65, 6 Sn 2.71-2.84
14 Cu 0.6833 0.2750 0.6820  3 Cu 2.57-2.61, 6 Sn 2.68-2.82
15 Cu 0.1898 0.2443 0.6865  4 Cu 2.54-2.76, 4 Sn 2.73-2.80
16 Cu 0.8102 0.7443 0.8135  4 Cu 2.54-2.76, 4 Sn 2.73-2.80
17 Cu 0.3167 0.7750 0.8180  3 Cu 2.57-2.61, 6 Sn 2.68-2.82
18 Cu 0.4296 0.2552 0.9307  3 Cu 2.54-2.65, 6 Sn 2.71-2.84
19 Cu 0.1914 0.0874 0.9373  6 Cu 2.61-2.76, 5 Sn 2.64-2.78
20 Cu 0.9438 0.2241 0.9428  4 Cu 2.57-2.64, 5 Sn 2.66-2.86
21 Sn 0.8168 0.5531 0.0645  7 Cu 2.64-2.89
22 Sn 0.3242 0.9152 0.0786  7 Cu 2.65-2.96
23 Sn 0.4564 0.4065 0.1674  7 Cu 2.68-2.80
24 Sn 0.9285 0.0990 0.2158  8 Cu 2.66-2.80
25 Sn 0.0715 0.5990 0.2842  8 Cu 2.66-2.80
26 Sn 0.5436 0.9065 0.3326  7 Cu 2.68-2.80
27 Sn 0.6758 0.4152 0.4214  7 Cu 2.65-2.96
28 Sn 0.1832 0.0531 0.4355  7 Cu 2.64-2.89
29 Sn 0.8168 0.9469 0.5645  7 Cu 2.64-2.89
30 Sn 0.3242 0.5848 0.5786  7 Cu 2.65-2.96
31 Sn 0.4564 0.0935 0.6674  7 Cu 2.68-2.80
32 Sn 0.9285 0.4010 0.7158  8 Cu 2.66-2.80
33 Sn 0.0715 0.9010 0.7842  8 Cu 2.66-2.80
34 Sn 0.5436 0.5935 0.8326  7 Cu 2.68-2.80
35 Sn 0.6758 0.0848 0.9214  7 Cu 2.65-2.96
36 Sn 0.1832 0.4469 0.9355  7 Cu 2.64-2.89

## Properties
The calculation puts the energy above the most stable polymorph in this dataset at 0 meV per atom.

***

First-principles (PBE) data for crystalline TbTlAsSe3 at its relaxed geometry, as listed in OQMD via LeMat-Bulk.

a = 7.9191 Å, b = 7.9191 Å, c = 10.5521 Å
α = 90.00°, β = 90.00°, γ = 149.29°
Last column: nearest neighbours and their distance in Å.
Fractional coordinates of all 12 atoms:
1 As 0.5519 0.4481 0.2500  2 Se 2.51
2 As 0.4481 0.5519 0.7500  2 Se 2.51
3 Se 0.6321 0.3679 0.0423  1 As 2.51
4 Se 0.9089 0.0911 0.2500  2 Tb 2.98, 2 As 3.03, 2 Tl 3.10
5 Se 0.6321 0.3679 0.4577  1 As 2.51
6 Se 0.3679 0.6321 0.5423  1 As 2.51
7 Se 0.0911 0.9089 0.7500  2 Tb 2.98, 2 As 3.03, 2 Tl 3.10
8 Se 0.3679 0.6321 0.9577  1 As 2.51
9 Tb 0.0000 0.0000 0.0000  6 Se 2.94-2.98
10 Tb 0.0000 0.0000 0.5000  6 Se 2.94-2.98
11 Tl 0.2596 0.7404 0.2500  2 Se 3.10
12 Tl 0.7404 0.2596 0.7500  2 Se 3.10

## Properties
As for the total DFT energy (no corrections): -52.866 eV for the cell shown.

***

First-principles (PBE) data for crystalline ZrFeSb at its relaxed geometry, as listed in OQMD via LeMat-Bulk.

a = 7.0874 Å, b = 7.0874 Å, c = 3.6732 Å
α = 90.00°, β = 90.00°, γ = 120.00°
Last column: nearest neighbours and their distance in Å.
Fractional coordinates of all 9 atoms:
1 Fe 0.6667 0.3333 0.0000  3 Sb 2.62, 6 Zr 2.86
2 Fe 0.3333 0.6667 0.0000  3 Sb 2.62, 6 Zr 2.86
3 Fe 0.0000 0.0000 0.5000  6 Sb 2.65, 3 Zr 2.77
4 Sb 0.2701 0.0000 0.0000  4 Fe 2.62-2.65
5 Sb 0.0000 0.2701 0.0000  4 Fe 2.62-2.65
6 Sb 0.7299 0.7299 0.0000  4 Fe 2.62-2.65
7 Zr 0.6094 0.0000 0.5000  5 Fe 2.77-2.86, 6 Sb 3.03-3.07
8 Zr 0.3906 0.3906 0.5000  5 Fe 2.77-2.86, 6 Sb 3.03-3.07
9 Zr 0.0000 0.6094 0.5000  5 Fe 2.77-2.86, 6 Sb 3.03-3.07

## Properties
As for the total DFT energy (no corrections): -66.497 eV for the cell shown.

***

First-principles (PBE) data for crystalline ZrSc2Ni4Ge4 at its relaxed geometry, as listed in OQMD via LeMat-Bulk.

a = 7.5324 Å, b = 7.5324 Å, c = 7.5324 Å
α = 149.96°, β = 128.03°, γ = 61.20°
Last column: nearest neighbours and their distance in Å.
Fractional coordinates of all 11 atoms:
1 Ge 0.2828 0.2828 0.0000  6 Ni 2.40-2.42
2 Ge 0.7172 0.7172 0.0000  6 Ni 2.40-2.42
3 Ge 0.1978 0.0000 0.1978  2 Ni 2.40, 1 Ge 2.61
4 Ge 0.8022 0.0000 0.8022  2 Ni 2.40, 1 Ge 2.61
5 Ni 0.4796 0.1774 0.3022  4 Ge 2.40-2.42, 1 Ni 2.61
6 Ni 0.1247 0.8226 0.3022  4 Ge 2.40-2.42, 1 Ni 2.61
7 Ni 0.5204 0.8226 0.6978  4 Ge 2.40-2.42, 1 Ni 2.61
8 Ni 0.8753 0.1774 0.6978  4 Ge 2.40-2.42, 1 Ni 2.61
9 Sc 0.8723 0.3723 0.5000  6 Ge 2.80-2.87, 6 Ni 2.84-2.86
10 Sc 0.1277 0.6277 0.5000  6 Ge 2.80-2.87, 6 Ni 2.84-2.86
11 Zr 0.5000 0.5000 0.0000  6 Ge 2.79-2.82

## Properties
As for the total DFT energy (no corrections): -70.116 eV for the cell shown.

***

First-principles (PBE) data for crystalline MgTaBiW at its relaxed geometry, as listed in OQMD via LeMat-Bulk.

a = 4.7654 Å, b = 4.7654 Å, c = 4.7654 Å
α = 60.00°, β = 60.00°, γ = 60.00°
Last column: nearest neighbours and their distance in Å.
Fractional coordinates of all 4 atoms:
1 Bi 0.0000 0.0000 0.0000  4 Mg 2.92, 4 W 2.92
2 Mg 0.7500 0.7500 0.7500  4 Bi 2.92, 4 Ta 2.92
3 Ta 0.5000 0.5000 0.5000  4 W 2.92, 4 Mg 2.92
4 W 0.2500 0.2500 0.2500  4 Ta 2.92, 4 Bi 2.92

## Properties
The calculation puts the energy above the most stable polymorph in this dataset at 0 meV per atom.

***

Please write out number 10 again, unchanged.
First-principles (PBE) data for crystalline ZrFeSb at its relaxed geometry, as listed in OQMD via LeMat-Bulk.

a = 7.0874 Å, b = 7.0874 Å, c = 3.6732 Å
α = 90.00°, β = 90.00°, γ = 120.00°
Last column: nearest neighbours and their distance in Å.
Fractional coordinates of all 9 atoms:
1 Fe 0.6667 0.3333 0.0000  3 Sb 2.62, 6 Zr 2.86
2 Fe 0.3333 0.6667 0.0000  3 Sb 2.62, 6 Zr 2.86
3 Fe 0.0000 0.0000 0.5000  6 Sb 2.65, 3 Zr 2.77
4 Sb 0.2701 0.0000 0.0000  4 Fe 2.62-2.65
5 Sb 0.0000 0.2701 0.0000  4 Fe 2.62-2.65
6 Sb 0.7299 0.7299 0.0000  4 Fe 2.62-2.65
7 Zr 0.6094 0.0000 0.5000  5 Fe 2.77-2.86, 6 Sb 3.03-3.07
8 Zr 0.3906 0.3906 0.5000  5 Fe 2.77-2.86, 6 Sb 3.03-3.07
9 Zr 0.0000 0.6094 0.5000  5 Fe 2.77-2.86, 6 Sb 3.03-3.07

## Properties
As for the total DFT energy (no corrections): -66.497 eV for the cell shown.